Record 1
First-principles (GGA-PBE) data for TaC2I after structural relaxation, as listed in Alexandria via LeMat-Bulk.

## Properties
SG: Fm-3m, No. 225
Crystal system: cubic
E above lowest polymorph: 0.979 eV per atom

Cell lengths 4.1963, 4.1963, 4.1963 Å; angles 60.00, 60.00, 60.00 degrees
Sites, in units of the cell vectors:
I 0.0000 0.0000 0.0000
C 0.2500 0.2500 0.2500
C 0.7500 0.7500 0.7500
Ta 0.5000 0.5000 0.5000

***

Record 2
First-principles (GGA-PBE) data for Li3Ge2Pt2 after structural relaxation, as listed in Alexandria via LeMat-Bulk.

## Properties
SG: Immm, No. 71
ΔE_f: -0.479 eV per atom
Crystal system: orthorhombic
E above lowest polymorph: 0.140 eV per atom

Cell lengths 4.4247, 2.8207, 9.1861 Å; angles 98.83, 103.94, 90.00 degrees
Sites, in units of the cell vectors:
Li 0.0000 0.0000 0.0000
Li 0.7100 0.2100 0.4200
Li 0.2900 0.7900 0.5800
Ge 0.5750 0.5750 0.1500
Ge 0.4250 0.4250 0.8500
Pt 0.1389 0.6389 0.2779
Pt 0.8611 0.3611 0.7221

***

Record 3
First-principles (GGA-PBE) data for DyTh2Tl after structural relaxation, as listed in Alexandria via LeMat-Bulk.

## Properties
SG: P4/mmm, No. 123
ΔE_f: -0.100 eV per atom
Crystal system: tetragonal
E above lowest polymorph: 0.000 eV per atom

Cell lengths 5.1175, 4.8228, 4.8228 Å; angles 90.00, 90.00, 90.00 degrees
Sites, in units of the cell vectors:
Tl 0.5000 0.5000 0.5000
Th 0.0000 0.0000 0.5000
Th 0.0000 0.5000 0.0000
Dy 0.5000 0.0000 0.0000

***

Record 4
First-principles (GGA-PBE) data for CsInPCl2 after structural relaxation, as listed in Alexandria via LeMat-Bulk.

## Properties
SG: P4/mmm, No. 123
Final energy: -0.2377 Ry/atom
Crystal system: tetragonal

Cell lengths 5.5863, 5.5863, 5.1263 Å; angles 90.00, 90.00, 90.00 degrees
Each line ends with the local moment (μB).
Sites, in units of the cell vectors:
Cs 0.5000 0.5000 0.5000  0.01
P 0.0000 0.0000 0.5000  0.51
Cl 0.0000 0.5000 0.0000  0.04
Cl 0.5000 0.0000 0.0000  0.04
In 0.0000 0.0000 0.0000  0.00

***

Record 5
First-principles (GGA-PBE) data for NbGa2H after structural relaxation, as listed in Alexandria via LeMat-Bulk.

## Properties
SG: Fm-3m, No. 225
Crystal system: cubic
E above lowest polymorph: 0.616 eV per atom

Cell lengths 4.4316, 4.4316, 4.4316 Å; angles 60.00, 60.00, 60.00 degrees
Sites, in units of the cell vectors:
H 0.0000 0.0000 0.0000
Nb 0.5000 0.5000 0.5000
Ga 0.2500 0.2500 0.2500
Ga 0.7500 0.7500 0.7500

***

Record 6
First-principles (GGA-PBE) data for Y3PbSO after structural relaxation, as listed in Alexandria via LeMat-Bulk.

## Properties
SG: P2_1/m, No. 11
Final energy: -0.5267 Ry/atom
Crystal system: monoclinic

Cell lengths 3.9302, 8.7162, 8.9648 Å; angles 104.12, 90.00, 90.00 degrees
Sites, in units of the cell vectors:
Y 0.7500 0.8873 0.1430
Y 0.2500 0.1127 0.8570
Y 0.2500 0.8320 0.4770
Y 0.7500 0.1680 0.5230
Y 0.7500 0.4364 0.1544
Y 0.2500 0.5636 0.8456
Pb 0.2500 0.1892 0.2307
Pb 0.7500 0.8108 0.7693
S 0.2500 0.6610 0.1606
S 0.7500 0.3390 0.8394
O 0.2500 0.0892 0.5991
O 0.7500 0.9108 0.4009

***

Record 7
First-principles (GGA-PBE) data for Tl2AgIr after structural relaxation, as listed in Alexandria via LeMat-Bulk.

## Properties
SG: C2/m, No. 12
ΔE_f: 0.454 eV per atom
Crystal system: monoclinic
E above lowest polymorph: 0.136 eV per atom

Cell lengths 4.8656, 4.8656, 5.6611 Å; angles 80.16, 80.16, 38.91 degrees
Sites, in units of the cell vectors:
Tl 0.0071 0.0071 0.9865
Tl 0.4929 0.4929 0.5135
Ir 0.7500 0.7500 0.7500
Ag 0.2500 0.2500 0.2500

***

Record 8
First-principles (GGA-PBE) data for AlAgSn after structural relaxation, as listed in Alexandria via LeMat-Bulk.

## Properties
SG: Pm, No. 6
ΔE_f: 0.054 eV per atom
Crystal system: monoclinic

Cell lengths 4.3340, 11.2910, 3.0582 Å; angles 109.16, 89.98, 67.45 degrees
Sites, in units of the cell vectors:
Al 0.2083 0.3861 0.4768
Al 0.4766 0.1179 0.6496
Ag 0.8876 0.2068 0.2503
Ag 0.6278 0.4665 0.0712
Sn 0.9223 0.6720 0.2925
Sn 0.1788 0.9158 0.4835